A geometry-optimized Zn2Ga5Pd12 structure, computed with GGA-PBE.

a b c (Å): 5.5764 7.7977 8.2358
angles (deg): 105.50 90.00 110.95
With the nearest neighbours (Å) after each atom.
Element x y z (fractional)
1 Zn 0.7481 0.0000 0.0000  4 Pd 2.59-2.62, 2 Zn 2.77-2.81
2 Zn 0.2519 0.0000 0.0000  4 Pd 2.59-2.62, 2 Zn 2.77-2.81
3 Ga 0.3114 0.6229 0.6450  7 Pd 2.51-2.57
4 Ga 0.3403 0.6805 0.1545  7 Pd 2.47-2.57
5 Ga 0.0000 0.0000 0.5000  6 Pd 2.46-2.59
6 Ga 0.6597 0.3195 0.8455  7 Pd 2.47-2.57
7 Ga 0.6886 0.3771 0.3550  7 Pd 2.51-2.57
8 Pd 0.0789 0.1578 0.2731  1 Ga 2.46, 2 Zn 2.62, 2 Pd 2.75
9 Pd 0.0607 0.6291 0.8989  3 Ga 2.47-2.57, 1 Zn 2.59, 2 Pd 2.75
10 Pd 0.5683 0.6291 0.8989  3 Ga 2.47-2.57, 1 Zn 2.59, 2 Pd 2.75
11 Pd 0.0909 0.6869 0.4106  4 Ga 2.53-2.59, 2 Pd 2.76-2.82
12 Pd 0.5961 0.6869 0.4106  4 Ga 2.53-2.59, 2 Pd 2.76-2.82
13 Pd 0.4901 0.9802 0.6734  2 Ga 2.47-2.55
14 Pd 0.5099 0.0198 0.3266  2 Ga 2.47-2.55
15 Pd 0.9091 0.3131 0.5894  4 Ga 2.53-2.59, 2 Pd 2.76-2.82
16 Pd 0.4039 0.3131 0.5894  4 Ga 2.53-2.59, 2 Pd 2.76-2.82
17 Pd 0.9393 0.3709 0.1011  3 Ga 2.47-2.57, 1 Zn 2.59, 2 Pd 2.75
18 Pd 0.4317 0.3709 0.1011  3 Ga 2.47-2.57, 1 Zn 2.59, 2 Pd 2.75
19 Pd 0.9211 0.8422 0.7269  1 Ga 2.46, 2 Zn 2.62, 2 Pd 2.75

DOS(E_F)	6.863	states/eV per cell
space group	C2/m (12)
raw total energy	-4.591	eV per atom